This record from the Alexandria database describes an optimized crystal structure of Cs2ErAuO4. The functional is PBE-GGA.

Calculated values
E, eV per atom: -5.0829

The structure in CIF format:
```
data_Cs2ErAuO4
_chemical_formula_sum 'Cs4 Er2 Au2 O8'
_space_group_name_H-M_alt 'P 1'
_space_group_IT_number 1
_space_group_name_Hall 'P 1'
_cell_length_a 6.159
_cell_length_b 7.898
_cell_length_c 12.135
_cell_angle_alpha 84.32
_cell_angle_beta 75.30
_cell_angle_gamma 67.05
loop_
_atom_site_label
_atom_site_type_symbol
_atom_site_fract_x
_atom_site_fract_y
_atom_site_fract_z
_atom_site_occupancy
Cs1 Cs 0.185 0.000 0.630 1
Cs2 Cs 0.815 0.000 0.370 1
Cs3 Cs 0.565 0.500 0.870 1
Cs4 Cs 0.935 0.500 0.130 1
Er1 Er 0.750 0.500 0.500 1
Er2 Er 0.000 0.000 0.000 1
Au1 Au 0.250 0.500 0.500 1
Au2 Au 0.500 0.000 0.000 1
O1 O 0.352 0.804 0.012 1
O2 O 0.168 0.196 0.988 1
O3 O 0.844 0.804 0.988 1
O4 O 0.635 0.196 0.012 1
O5 O 0.398 0.696 0.488 1
O6 O 0.582 0.304 0.512 1
O7 O 0.906 0.696 0.512 1
O8 O 0.115 0.304 0.488 1
```